<i>
Material: BaCaBe
Method: DFT, GGA-PBEsol
State: optimized geometry

Values from the calculation:
Size of the total moment   0.0005 μB per atom
DOS at the Fermi energy   4.94 states/eV/cell
Symmetry   No. 216

a b c (Å): 5.2213 5.2213 5.2213
angles (deg): 60.00 60.00 60.00
Positions (direct):
1 Be 0.5000 0.5000 0.5000
2 Ba 0.0000 0.0000 0.0000
3 Ca 0.2500 0.2500 0.2500


<ii>
Material: BaCaBe
Method: DFT, GGA-PBEsol
State: optimized geometry

Values from the calculation:
Size of the total moment   0.0003 μB per atom
DOS at the Fermi energy   4.54 states/eV/cell
Symmetry   No. 187

a b c (Å): 4.2431 5.1897 5.1897
angles (deg): 120.00 90.00 90.00
Positions (direct):
1 Be 0.5001 0.3333 0.6667
2 Ca 0.5000 0.6667 0.3333
3 Ba 0.9999 0.0000 0.0000


It is <ii> that is the most stable of them.


<i>
Material: Ba2BeHg
Method: DFT, GGA-PBEsol
State: optimized geometry

Values from the calculation:
Size of the total moment   0.0000 μB per atom
DOS at the Fermi energy   3.06 states/eV/cell
Symmetry   No. 99

a b c (Å): 3.7561 3.7561 9.3127
angles (deg): 90.00 90.00 90.00
Positions (direct):
1 Hg 0.5000 0.5000 0.6817
2 Ba 0.0000 0.0000 0.9199
3 Ba 0.5000 0.5000 0.3327
4 Be 0.0000 0.0000 0.5658


<ii>
Material: Ba2BeHg
Method: DFT, GGA-PBEsol
State: optimized geometry

Values from the calculation:
Size of the total moment   0.0003 μB per atom
DOS at the Fermi energy   9.51 states/eV/cell
Symmetry   No. 122

a b c (Å): 7.2659 7.2659 7.2659
angles (deg): 106.08 106.08 116.49
Positions (direct):
1 Ba 0.6250 0.1471 0.0221
2 Ba 0.8529 0.8750 0.4779
3 Ba 0.3971 0.3750 0.5221
4 Ba 0.1250 0.6029 0.9779
5 Hg 0.2500 0.7500 0.5000
6 Hg 0.0000 0.0000 0.0000
7 Be 0.7500 0.2500 0.5000
8 Be 0.5000 0.5000 0.0000


It is <i> that is the most stable of them.


<i>
Material: BaBe2Ir
Method: DFT, GGA-PBEsol
State: optimized geometry

Values from the calculation:
Size of the total moment   0.0000 μB per atom
DOS at the Fermi energy   5.10 states/eV/cell
Symmetry   No. 141

a b c (Å): 4.7477 4.7477 8.1509
angles (deg): 106.93 106.93 90.00
Positions (direct):
1 Ba 0.5000 0.5000 0.0000
2 Ba 0.7500 0.2500 0.5000
3 Be 0.1250 0.8750 0.7500
4 Be 0.1250 0.3750 0.2500
5 Be 0.6250 0.8750 0.7500
6 Be 0.1250 0.8750 0.2500
7 Ir 0.2500 0.7500 0.5000
8 Ir 0.0000 0.0000 0.0000


<ii>
Material: BaBe2Ir
Method: DFT, GGA-PBEsol
State: optimized geometry

Values from the calculation:
Size of the total moment   0.0000 μB per atom
DOS at the Fermi energy   1.50 states/eV/cell
Symmetry   No. 139

a b c (Å): 4.2992 4.7617 4.2992
angles (deg): 63.16 90.00 116.84
Positions (direct):
1 Ba 0.0000 0.0000 0.0000
2 Be 0.2500 0.5000 0.2500
3 Be 0.7500 0.5000 0.7500
4 Ir 0.5000 0.0000 0.5000


It is <i> that is the most stable of them.


<i>
Material: BaBeNi2
Method: DFT, GGA-PBEsol
State: optimized geometry

Values from the calculation:
Size of the total moment   0.0004 μB per atom
DOS at the Fermi energy   4.23 states/eV/cell
Symmetry   No. 225

a b c (Å): 4.6077 4.6077 4.6077
angles (deg): 60.00 60.00 60.00
Positions (direct):
1 Be 0.5000 0.5000 0.5000
2 Ni 0.7500 0.7500 0.7500
3 Ni 0.2500 0.2500 0.2500
4 Ba 0.0000 0.0000 0.0000


<ii>
Material: BaBeNi2
Method: DFT, GGA-PBEsol
State: optimized geometry

Values from the calculation:
Size of the total moment   0.0000 μB per atom
DOS at the Fermi energy   2.14 states/eV/cell
Symmetry   No. 44

a b c (Å): 3.8978 4.9723 4.9723
angles (deg): 69.94 66.92 66.92
Positions (direct):
1 Ni 0.3442 0.1558 0.1558
2 Ni 0.0245 0.9755 0.9755
3 Ba 0.4949 0.5051 0.5051
4 Be 0.6365 0.8635 0.8635


It is <ii> that is the most stable of them.


<i>
Material: BaBe2Ni
Method: DFT, GGA-PBEsol
State: optimized geometry

Values from the calculation:
Size of the total moment   0.0000 μB per atom
DOS at the Fermi energy   2.36 states/eV/cell
Symmetry   No. 99

a b c (Å): 3.0481 3.0481 6.9585
angles (deg): 90.00 90.00 90.00
Positions (direct):
1 Ba 0.5000 0.5000 0.7382
2 Ni 0.0000 0.0000 0.3932
3 Be 0.5000 0.5000 0.2681
4 Be 0.0000 0.0000 0.1005


<ii>
Material: BaBe2Ni
Method: DFT, GGA-PBEsol
State: optimized geometry

Values from the calculation:
Size of the total moment   0.0000 μB per atom
DOS at the Fermi energy   2.72 states/eV/cell
Symmetry   No. 123

a b c (Å): 2.9232 4.7812 4.7812
angles (deg): 90.00 90.00 90.00
Positions (direct):
1 Ba 0.5000 0.0000 0.0000
2 Ni 0.5000 0.5000 0.5000
3 Be 0.0000 0.0000 0.5000
4 Be 0.0000 0.5000 0.0000


It is <i> that is the most stable of them.


<i>
Material: BaBe2Os
Method: DFT, GGA-PBEsol
State: optimized geometry

Values from the calculation:
Size of the total moment   0.0022 μB per atom
DOS at the Fermi energy   2.95 states/eV/cell
Symmetry   No. 12

a b c (Å): 2.8934 4.7384 4.7384
angles (deg): 100.22 92.58 92.58
Positions (direct):
1 Be 0.0000 0.5000 0.0000
2 Be 0.0000 0.0000 0.5000
3 Ba 0.5000 0.0000 0.0000
4 Os 0.5000 0.5000 0.5000


<ii>
Material: BaBe2Os
Method: DFT, GGA-PBEsol
State: optimized geometry

Values from the calculation:
Size of the total moment   0.0000 μB per atom
DOS at the Fermi energy   2.04 states/eV/cell
Symmetry   No. 44

a b c (Å): 2.8713 5.0652 5.5903
angles (deg): 116.94 104.88 90.00
Positions (direct):
1 Ba 0.7591 0.2591 0.5182
2 Os 0.5513 0.5513 0.1026
3 Be 0.2342 0.7342 0.4684
4 Be 0.9554 0.9554 0.9108


It is <ii> that is the most stable of them.